A plane-wave DFT calculation with PBE was carried out for a relaxed structure of AsOsRh2.

Cell lengths 3.8383, 3.8383, 3.9335 Å; angles 90.00, 90.00, 90.00 degrees
Space group P4/mmm (No. 123)
Symmetry-distinct sites (fractional):
As (0.0000, 0.0000, 0.0000) x1
Os (0.5000, 0.5000, 0.0000) x1
Rh (0.0000, 0.5000, 0.5000) x2

As for the final energy: -0.27445 Ha/atom. Its energy relative to the elements is 68 kJ/mol of formula units. The calculation puts the volume at 57.9 Å³/cell.

***

A plane-wave DFT calculation with PBE was carried out for a relaxed structure of NaGdYCd.

Cell lengths 7.6704, 7.6704, 7.6704 Å; angles 90.00, 90.00, 90.00 degrees
Space group F-43m (No. 216)
Symmetry-distinct sites (fractional):
Na (0.0000, 0.0000, 0.0000) x4
Gd (0.2500, 0.2500, 0.2500) x4
Y (0.2500, 0.2500, 0.7500) x4
Cd (0.0000, 0.0000, 0.5000) x4

As for the final energy: -0.20914 Ha/atom. Its energy relative to the elements is 2 kJ/mol of formula units. The calculation puts the volume at 451.3 Å³/cell.

***

A plane-wave DFT calculation with PBE was carried out for a relaxed structure of FeHPdRu2.

Cell lengths 3.8553, 3.8553, 3.8831 Å; angles 90.00, 90.00, 90.00 degrees
Space group P4/mmm (No. 123)
Symmetry-distinct sites (fractional):
Fe (0.0000, 0.0000, 0.0000) x1
H (0.0000, 0.0000, 0.5000) x1
Pd (0.5000, 0.5000, 0.0000) x1
Ru (0.0000, 0.5000, 0.5000) x2

As for the final energy: -0.25553 Ha/atom. The calculation puts the volume at 57.7 Å³/cell.

***

A plane-wave DFT calculation with PBE was carried out for a relaxed structure of V2GaFe4.

Cell lengths 4.2770, 4.2770, 12.0889 Å; angles 90.00, 90.00, 90.00 degrees
Space group I4/mmm (No. 139)
Symmetry-distinct sites (fractional):
V (0.0000, 0.0000, 0.1178) x4
Ga (0.0000, 0.0000, 0.5000) x2
Fe (0.0000, 0.0000, 0.3000) x4
Fe (0.0000, 0.5000, 0.0000) x4

As for the final energy: -0.25553 Ha/atom. Its energy relative to the elements is 621 kJ/mol of formula units. The calculation puts the volume at 221.1 Å³/cell.

***

A plane-wave DFT calculation with PBE was carried out for a relaxed structure of NaTm2In9.

Cell lengths 4.6243, 4.6243, 14.0190 Å; angles 90.00, 90.00, 90.00 degrees
Space group P4/mmm (No. 123)
Symmetry-distinct sites (fractional):
Na (0.0000, 0.0000, 0.0000) x1
Tm (0.0000, 0.0000, 0.3357) x2
In (0.0000, 0.5000, 0.1680) x4
In (0.0000, 0.5000, 0.5000) x2
In (0.5000, 0.5000, 0.0000) x1
In (0.5000, 0.5000, 0.3348) x2

As for the final energy: -0.11649 Ha/atom. Its energy relative to the elements is -302 kJ/mol of formula units. The calculation puts the volume at 299.8 Å³/cell.

***

A plane-wave DFT calculation with PBE was carried out for a relaxed structure of Na3BW.

Cell lengths 5.8629, 5.8629, 5.8629 Å; angles 90.00, 90.00, 90.00 degrees
Space group Pm-3m (No. 221)
Symmetry-distinct sites (fractional):
Na (0.0000, 0.0000, 0.5000) x3
B (0.5000, 0.5000, 0.5000) x1
W (0.0000, 0.0000, 0.0000) x1

As for the final energy: -0.08475 Ha/atom. The calculation puts the distance to the lowest polymorph of the same formula at 539 meV/atom. Its energy relative to the elements is 1163 kJ/mol of formula units. The calculation puts the volume at 201.5 Å³/cell.

***

A plane-wave DFT calculation with PBE was carried out for a relaxed structure of NaPrSm2Te4.

Cell lengths 7.7941, 4.4556, 7.8132 Å; angles 90.00, 108.98, 90.00 degrees
Space group P2/m (No. 10)
Symmetry-distinct sites (fractional):
Na (0.0000, 0.0000, 0.0000) x1
Pr (0.5000, 0.5000, 0.0000) x1
Sm (0.0000, 0.5000, 0.5000) x1
Sm (0.5000, 0.0000, 0.5000) x1
Te (0.2450, 0.0000, 0.7461) x2
Te (0.2496, 0.5000, 0.2540) x2

As for the final energy: -0.17970 Ha/atom. As for the uncorrected formation energy: -1.38 eV per atom. The calculation puts the volume at 256.6 Å³/cell.

***

A plane-wave DFT calculation with PBE was carried out for a relaxed structure of V6FeW2.

Cell lengths 2.6862, 2.6862, 20.4724 Å; angles 90.00, 90.00, 120.00 degrees
Space group P-6m2 (No. 187)
Symmetry-distinct sites (fractional):
V (0.0000, 0.0000, 0.0597) x2
V (0.0000, 0.0000, 0.2945) x2
V (0.3333, 0.6667, 0.4053) x2
Fe (0.0000, 0.0000, 0.5000) x1
W (0.3333, 0.6667, 0.1761) x2

As for the final energy: -0.35131 Ha/atom. The calculation puts the distance to the lowest polymorph of the same formula at 152 meV/atom. Its energy relative to the elements is 294 kJ/mol of formula units. The calculation puts the volume at 127.9 Å³/cell.

***

A plane-wave DFT calculation with PBE was carried out for a relaxed structure of Ni2GeHPt.

Cell lengths 3.6476, 3.6476, 4.1317 Å; angles 90.00, 90.00, 90.00 degrees
Space group P4/mmm (No. 123)
Symmetry-distinct sites (fractional):
Ni (0.0000, 0.5000, 0.0000) x2
Ge (0.0000, 0.0000, 0.5000) x1
H (0.0000, 0.0000, 0.0000) x1
Pt (0.5000, 0.5000, 0.5000) x1

As for the final energy: -0.18986 Ha/atom. The calculation puts the distance to the lowest polymorph of the same formula at 99 meV/atom. The calculation puts the volume at 55.0 Å³/cell.

***

A plane-wave DFT calculation with PBE was carried out for a relaxed structure of Zn4CdP.

Cell lengths 7.3956, 7.3956, 7.3956 Å; angles 90.00, 90.00, 90.00 degrees
Space group F-43m (No. 216)
Symmetry-distinct sites (fractional):
Zn (0.1244, 0.1244, 0.3756) x16
Cd (0.0000, 0.0000, 0.0000) x4
P (0.2500, 0.2500, 0.7500) x4

As for the final energy: -0.06083 Ha/atom. Its energy relative to the elements is 144 kJ/mol of formula units. The calculation puts the volume at 404.5 Å³/cell.

***

A plane-wave DFT calculation with PBE was carried out for a relaxed structure of Pm4Ho3Pd4.

Cell lengths 3.8442, 9.5565, 15.7906 Å; angles 90.00, 90.00, 90.00 degrees
Space group Immm (No. 71)
Symmetry-distinct sites (fractional):
Pm (0.0000, 0.1863, 0.1585) x8
Ho (0.0000, 0.0000, 0.3898) x4
Ho (0.0000, 0.5000, 0.5000) x2
Pd (0.0000, 0.3465, 0.0000) x4
Pd (0.0000, 0.5000, 0.2547) x4

As for the final energy: -0.19838 Ha/atom. Its energy relative to the elements is -567 kJ/mol of formula units. The calculation puts the volume at 580.1 Å³/cell.

***

A plane-wave DFT calculation with PBE was carried out for a relaxed structure of TaBe2Tl.

Cell lengths 6.1756, 6.1756, 6.1756 Å; angles 90.00, 90.00, 90.00 degrees
Space group Fm-3m (No. 225)
Symmetry-distinct sites (fractional):
Ta (0.0000, 0.0000, 0.0000) x4
Be (0.2500, 0.2500, 0.2500) x8
Tl (0.0000, 0.0000, 0.5000) x4

As for the final energy: -0.17149 Ha/atom. The calculation puts the distance to the lowest polymorph of the same formula at 395 meV/atom. Its energy relative to the elements is 290 kJ/mol of formula units. The calculation puts the volume at 235.5 Å³/cell.

***

A plane-wave DFT calculation with PBE was carried out for a relaxed structure of CrFe2Tc.

Cell lengths 2.5848, 2.5848, 24.9566 Å; angles 90.00, 90.00, 120.00 degrees
Space group R-3m (No. 166, hexagonal axes)
Symmetry-distinct sites (fractional):
Cr (0.0000, 0.0000, 0.0000) x3
Fe (0.0000, 0.0000, 0.2532) x6
Tc (0.0000, 0.0000, 0.5000) x3

As for the final energy: -0.33150 Ha/atom. Its energy relative to the elements is 80 kJ/mol of formula units. The calculation puts the volume at 144.4 Å³/cell.

***

A plane-wave DFT calculation with PBE was carried out for a relaxed structure of Mg3Nb3CrN8.

Cell lengths 6.1150, 6.1150, 15.3580 Å; angles 90.00, 90.00, 120.00 degrees
Space group R-3m (No. 166, hexagonal axes)
Symmetry-distinct sites (fractional):
Mg (0.0000, 0.5000, 0.0000) x9
Nb (0.0000, 0.5000, 0.5000) x9
Cr (0.0000, 0.0000, 0.5000) x3
N (0.0000, 0.0000, 0.2480) x6
N (0.0085, 0.5043, 0.2411) x18

As for the final energy: -0.30177 Ha/atom. As for the uncorrected formation energy: -0.80 eV per atom. The calculation puts the volume at 497.3 Å³/cell.

***

A plane-wave DFT calculation with PBE was carried out for a relaxed structure of HgP2HO.

Cell lengths 3.4020, 3.4020, 7.2496 Å; angles 90.00, 90.00, 90.00 degrees
Space group P4/mmm (No. 123)
Symmetry-distinct sites (fractional):
Hg (0.0000, 0.0000, 0.0000) x1
P (0.0000, 0.5000, 0.5000) x2
H (0.5000, 0.5000, 0.5000) x1
O (0.5000, 0.5000, 0.0000) x1

As for the final energy: -0.11973 Ha/atom. The calculation puts the distance to the lowest polymorph of the same formula at 0 meV/atom. The calculation puts the volume at 83.9 Å³/cell.

***

A plane-wave DFT calculation with PBE was carried out for a relaxed structure of Na2Mn2S3.

Cell lengths 14.9318, 13.3517, 6.9695 Å; angles 90.00, 117.18, 90.00 degrees
Space group C2/c (No. 15)
Symmetry-distinct sites (fractional):
Na (0.0000, 0.0710, 0.2500) x4
Na (0.0000, 0.2179, 0.7500) x4
Na (0.1008, 0.4141, 0.6340) x8
Mn (0.1803, 0.2359, 0.2561) x8
Mn (0.2101, 0.0746, 0.7988) x8
S (0.1142, 0.3852, 0.0487) x8
S (0.1380, 0.2179, 0.5550) x8
S (0.1462, 0.0751, 0.0674) x8

As for the final energy: -0.20449 Ha/atom. As for the uncorrected formation energy: -0.80 eV per atom. The calculation puts the volume at 1236.0 Å³/cell.

***

A plane-wave DFT calculation with PBE was carried out for a relaxed structure of SmSi2Pt6.

Cell lengths 5.5692, 5.5692, 6.4012 Å; angles 90.00, 90.00, 120.00 degrees
Space group P6/mmm (No. 191)
Symmetry-distinct sites (fractional):
Sm (0.0000, 0.0000, 0.0000) x1
Si (0.3333, 0.6667, 0.5000) x2
Pt (0.0000, 0.5000, 0.2217) x6

As for the final energy: -0.24103 Ha/atom. As for the uncorrected formation energy: -0.80 eV per atom. The calculation puts the volume at 171.9 Å³/cell.

***

A plane-wave DFT calculation with PBE was carried out for a relaxed structure of Ir6Os2Rh.

Cell lengths 7.6157, 7.6157, 2.7115 Å; angles 90.00, 90.00, 120.00 degrees
Space group P-31m (No. 162)
Symmetry-distinct sites (fractional):
Ir (0.0000, 0.3366, 0.2443) x6
Os (0.3333, 0.6667, 0.0000) x2
Rh (0.0000, 0.0000, 0.5000) x1

As for the final energy: -0.31861 Ha/atom. The calculation puts the distance to the lowest polymorph of the same formula at 204 meV/atom. Its energy relative to the elements is 478 kJ/mol of formula units. The calculation puts the volume at 136.2 Å³/cell.

***

A plane-wave DFT calculation with PBE was carried out for a relaxed structure of Er12Tm7Mg.

Cell lengths 11.8509, 11.8509, 11.8509 Å; angles 90.00, 90.00, 90.00 degrees
Space group Im-3 (No. 204)
Symmetry-distinct sites (fractional):
Er (0.0000, 0.3577, 0.2610) x24
Tm (0.0000, 0.0000, 0.5000) x6
Tm (0.2500, 0.2500, 0.2500) x8
Mg (0.0000, 0.0000, 0.0000) x2

As for the final energy: -0.13052 Ha/atom. The calculation puts the distance to the lowest polymorph of the same formula at 609 meV/atom. Its energy relative to the elements is 1603 kJ/mol of formula units. The calculation puts the volume at 1664.4 Å³/cell.

***

A plane-wave DFT calculation with PBE was carried out for a relaxed structure of K2BeBiSb.

Cell lengths 6.7314, 6.7314, 5.8134 Å; angles 90.00, 90.00, 90.00 degrees
Space group P4/mmm (No. 123)
Symmetry-distinct sites (fractional):
K (0.0000, 0.5000, 0.0000) x2
Be (0.0000, 0.0000, 0.5000) x1
Bi (0.5000, 0.5000, 0.5000) x1
Sb (0.5000, 0.5000, 0.0000) x1

As for the final energy: -0.08099 Ha/atom. As for the uncorrected formation energy: 0.58 eV per atom. The calculation puts the volume at 263.4 Å³/cell.